# ZrCoPbAu

Crystalline ZrCoPbAu at its relaxed geometry (PBE, OQMD).

The structure in extended XYZ format:
```
4
Lattice="0.0000 3.3716 3.3716 3.3716 0.0000 3.3716 3.3716 3.3716 0.0000" Properties=species:S:1:pos:R:3 pbc="T T T"
Zr 0.0000 0.0000 0.0000
Co 1.6858 1.6858 1.6858
Pb 3.3716 3.3716 3.3716
Au 5.0574 5.0574 5.0574
```

Properties
Crystal system ... cubic
E above lowest polymorph ... 0.0000 eV/atom

---

# Hf2Be15Co2

Crystalline Hf2Be15Co2 at its relaxed geometry (PBE, OQMD).

The structure in extended XYZ format:
```
19
Lattice="3.7727 2.1782 3.6473 -3.7727 2.1782 3.6473 0.0000 -4.3564 3.6473" Properties=species:S:1:pos:R:3 pbc="T T T"
Hf 0.0000 0.0000 1.7488
Hf 0.0000 0.0000 9.1932
Be -1.8864 -1.0891 3.6473
Be 0.0000 -2.1627 3.5483
Be -1.8730 1.0813 3.5483
Be -1.0621 -1.8396 5.4710
Be -2.1242 0.0000 5.4710
Be -1.8730 -1.0814 7.3938
Be -1.8864 1.0891 7.2947
Be 1.0621 -1.8396 5.4710
Be 0.0000 2.1782 3.6473
Be -1.0621 1.8396 5.4710
Be 1.8730 1.0814 3.5483
Be 2.1242 0.0000 5.4710
Be 1.0621 1.8396 5.4710
Be 1.8730 -1.0814 7.3938
Be 0.0000 2.1627 7.3938
Co 0.0000 0.0000 4.3313
Co 0.0000 0.0000 6.6107
```

Properties
Crystal system ... trigonal
DFT total energy ... -95.32 eV for the cell shown

---

# DyBiNO

Crystalline DyBiNO at its relaxed geometry (PBE, OQMD).

The structure in extended XYZ format:
```
8
Lattice="4.5017 0.0000 0.0000 0.0000 4.5017 0.0000 0.0000 0.0000 7.9125" Properties=species:S:1:pos:R:3 pbc="T T T"
Dy 1.1254 1.1254 0.7018
Dy 3.3762 3.3762 7.2107
Bi 1.1254 3.3762 3.9563
Bi 3.3762 1.1254 3.9563
N 1.1254 1.1254 2.8954
N 3.3762 3.3762 5.0172
O 1.1254 3.3762 0.0000
O 3.3762 1.1254 0.0000
```

Properties
Crystal system ... tetragonal
E above lowest polymorph ... 0.1701 eV/atom

---

# Sr2Tm4Be

Crystalline Sr2Tm4Be at its relaxed geometry (PBE, OQMD).

The structure in extended XYZ format:
```
7
Lattice="3.6589 0.0000 0.0000 -1.8295 3.1687 0.0000 0.0000 0.0000 19.8188" Properties=species:S:1:pos:R:3 pbc="T T T"
Sr 0.0000 2.1125 4.4965
Sr 1.8295 1.0562 15.3223
Tm 0.0000 2.1125 8.1343
Tm 0.0000 2.1125 18.4855
Tm 1.8295 1.0562 1.3333
Tm 1.8295 1.0562 11.6844
Be 0.0000 0.0000 9.9094
```

Properties
Crystal system ... trigonal
DFT total energy ... -22.97 eV for the cell shown

---

# Hf2HgBi

Crystalline Hf2HgBi at its relaxed geometry (PBE, OQMD).

The structure in extended XYZ format:
```
4
Lattice="0.0000 3.6616 3.6616 3.6616 0.0000 3.6616 3.6616 3.6616 0.0000" Properties=species:S:1:pos:R:3 pbc="T T T"
Hf 0.0000 0.0000 0.0000
Hf 1.8308 1.8308 1.8308
Hg 5.4923 5.4923 5.4923
Bi 3.6616 3.6616 3.6616
```

Properties
Crystal system ... cubic
DFT total energy ... -22.47 eV for the cell shown

---

# Lu2ZnW

Crystalline Lu2ZnW at its relaxed geometry (PBE, OQMD).

The structure in extended XYZ format:
```
4
Lattice="0.0000 3.4130 3.4130 3.4130 0.0000 3.4130 3.4130 3.4130 0.0000" Properties=species:S:1:pos:R:3 pbc="T T T"
Lu 0.0000 0.0000 0.0000
Lu 1.7065 1.7065 1.7065
Zn 3.4130 3.4130 3.4130
W 5.1194 5.1194 5.1194
```

Properties
Crystal system ... cubic
Energy relative to the elements ... 422 meV/atom

---

Calculated theoretical density, 12.0, 5.6, 8.3, 6.2, 13.0, 12.5 Mg/m³ (same order as the records).